[1]
Below is crystalline TePb2Cl at its relaxed geometry, with properties calculated at the GGA-PBEsol level.

Fermi-level density of states = 1.89 states/eV/f.u.
Excess energy over the best structure of this formula in the dataset = 0.87 eV per formula unit

Geometry as CIF:
```
data_TePb2Cl
_chemical_formula_sum 'Te3 Pb6 Cl3'
_symmetry_space_group_name_H-M 'R 3 m'
_symmetry_Int_Tables_number 160
_symmetry_space_group_name_Hall 'R 3 -2"'
_cell_length_a 3.9309
_cell_length_b 3.9309
_cell_length_c 28.3053
_cell_angle_alpha 90.00
_cell_angle_beta 90.00
_cell_angle_gamma 120.00
loop_
_atom_site_label
_atom_site_type_symbol
_atom_site_fract_x
_atom_site_fract_y
_atom_site_fract_z
Te1 Te 0.0000 0.0000 0.0000
Pb1 Pb 0.0000 0.0000 0.2674
Pb2 Pb 0.0000 0.0000 0.5001
Cl1 Cl 0.0000 0.0000 0.7677
```

=====

[2]
Below is crystalline TlPb2Cl at its relaxed geometry, with properties calculated at the GGA-PBEsol level.

Fermi-level density of states = 2.17 states/eV/f.u.
Excess energy over the best structure of this formula in the dataset = 0.24 eV per formula unit

Geometry as CIF:
```
data_TlPb2Cl
_chemical_formula_sum 'Tl2 Pb4 Cl2'
_symmetry_space_group_name_H-M 'I 4/m m m'
_symmetry_Int_Tables_number 139
_symmetry_space_group_name_Hall '-I 4 2'
_cell_length_a 4.544
_cell_length_b 4.544
_cell_length_c 10.891
_cell_angle_alpha 90.00
_cell_angle_beta 90.00
_cell_angle_gamma 90.00
loop_
_atom_site_label
_atom_site_type_symbol
_atom_site_fract_x
_atom_site_fract_y
_atom_site_fract_z
Tl1 Tl 0.000 0.000 0.000
Pb1 Pb 0.000 0.500 0.250
Cl1 Cl 0.000 0.000 0.500
```

=====

[3]
Below is crystalline TlPb2Cl at its relaxed geometry, with properties calculated at the GGA-PBEsol level.

Fermi-level density of states = 1.90 states/eV/f.u.
Excess energy over the best structure of this formula in the dataset = 0.00 eV per formula unit

Geometry as CIF:
```
data_TlPb2Cl
_chemical_formula_sum 'Tl2 Pb4 Cl2'
_symmetry_space_group_name_H-M 'C m m m'
_symmetry_Int_Tables_number 65
_symmetry_space_group_name_Hall '-C 2 2'
_cell_length_a 7.945
_cell_length_b 7.983
_cell_length_c 3.423
_cell_angle_alpha 90.00
_cell_angle_beta 90.00
_cell_angle_gamma 90.00
loop_
_atom_site_label
_atom_site_type_symbol
_atom_site_fract_x
_atom_site_fract_y
_atom_site_fract_z
Tl1 Tl 0.000 0.000 0.000
Pb1 Pb 0.250 0.250 0.500
Cl1 Cl 0.000 0.500 0.000
```

=====

[4]
Below is crystalline TlPb2Cl at its relaxed geometry, with properties calculated at the GGA-PBEsol level.

Fermi-level density of states = 2.22 states/eV/f.u.
Excess energy over the best structure of this formula in the dataset = 0.24 eV per formula unit

Geometry as CIF:
```
data_TlPb2Cl
_chemical_formula_sum 'Tl1 Pb2 Cl1'
_symmetry_space_group_name_H-M 'P 4/m m m'
_symmetry_Int_Tables_number 123
_symmetry_space_group_name_Hall '-P 4 2'
_cell_length_a 4.507
_cell_length_b 4.507
_cell_length_c 5.549
_cell_angle_alpha 90.00
_cell_angle_beta 90.00
_cell_angle_gamma 90.00
loop_
_atom_site_label
_atom_site_type_symbol
_atom_site_fract_x
_atom_site_fract_y
_atom_site_fract_z
Tl1 Tl 0.000 0.000 0.000
Pb1 Pb 0.000 0.500 0.500
Cl1 Cl 0.500 0.500 0.000
```

=====

[5]
Below is crystalline PbWCl2 at its relaxed geometry, with properties calculated at the GGA-PBEsol level.

Fermi-level density of states = 2.28 states/eV/f.u.
Calculated total energy = -21.427 eV/f.u.

Geometry as CIF:
```
data_PbWCl2
_chemical_formula_sum 'Pb2 W2 Cl4'
_symmetry_space_group_name_H-M 'C m m m'
_symmetry_Int_Tables_number 65
_symmetry_space_group_name_Hall '-C 2 2'
_cell_length_a 2.995
_cell_length_b 5.702
_cell_length_c 10.928
_cell_angle_alpha 90.00
_cell_angle_beta 90.00
_cell_angle_gamma 90.00
loop_
_atom_site_label
_atom_site_type_symbol
_atom_site_fract_x
_atom_site_fract_y
_atom_site_fract_z
Pb1 Pb 0.000 0.000 0.000
W1 W 0.000 0.000 0.500
Cl1 Cl 0.000 0.500 0.326
```

=====

[6]
Below is crystalline PbWCl at its relaxed geometry, with properties calculated at the GGA-PBEsol level.

Fermi-level density of states = 4.97 states/eV/f.u.
Excess energy over the best structure of this formula in the dataset = 4.02 eV per formula unit

Geometry as CIF:
```
data_PbWCl
_chemical_formula_sum 'Pb4 W4 Cl4'
_symmetry_space_group_name_H-M 'F -4 3 m'
_symmetry_Int_Tables_number 216
_symmetry_space_group_name_Hall 'F -4 2 3'
_cell_length_a 6.407
_cell_length_b 6.407
_cell_length_c 6.407
_cell_angle_alpha 90.00
_cell_angle_beta 90.00
_cell_angle_gamma 90.00
loop_
_atom_site_label
_atom_site_type_symbol
_atom_site_fract_x
_atom_site_fract_y
_atom_site_fract_z
Pb1 Pb 0.000 0.000 0.000
W1 W 0.000 0.000 0.500
Cl1 Cl 0.250 0.250 0.250
```

=====

[7]
Below is crystalline PbWCl at its relaxed geometry, with properties calculated at the GGA-PBEsol level.

Fermi-level density of states = 2.40 states/eV/f.u.
Excess energy over the best structure of this formula in the dataset = 0.00 eV per formula unit

Geometry as CIF:
```
data_PbWCl
_chemical_formula_sum 'Pb4 W4 Cl4'
_symmetry_space_group_name_H-M 'F m m 2'
_symmetry_Int_Tables_number 42
_symmetry_space_group_name_Hall 'F 2 -2'
_cell_length_a 3.030
_cell_length_b 5.431
_cell_length_c 15.746
_cell_angle_alpha 90.00
_cell_angle_beta 90.00
_cell_angle_gamma 90.00
loop_
_atom_site_label
_atom_site_type_symbol
_atom_site_fract_x
_atom_site_fract_y
_atom_site_fract_z
Pb1 Pb 0.000 0.000 0.000
W1 W 0.000 0.000 0.335
Cl1 Cl 0.000 0.000 0.717
```

=====

[8]
Below is crystalline PbWCl3 at its relaxed geometry, with properties calculated at the GGA-PBEsol level.

Fermi-level density of states = 12.40 states/eV/f.u.
Calculated total energy = -19.482 eV/f.u.

Geometry as CIF:
```
data_PbWCl3
_chemical_formula_sum 'Pb1 W1 Cl3'
_symmetry_space_group_name_H-M 'P m -3 m'
_symmetry_Int_Tables_number 221
_symmetry_space_group_name_Hall '-P 4 2 3'
_cell_length_a 5.450
_cell_length_b 5.450
_cell_length_c 5.450
_cell_angle_alpha 90.00
_cell_angle_beta 90.00
_cell_angle_gamma 90.00
loop_
_atom_site_label
_atom_site_type_symbol
_atom_site_fract_x
_atom_site_fract_y
_atom_site_fract_z
Pb1 Pb 0.000 0.000 0.000
W1 W 0.500 0.500 0.500
Cl1 Cl 0.000 0.000 0.500
```

=====

[9]
Below is crystalline YPbCl at its relaxed geometry, with properties calculated at the GGA-PBEsol level.

Fermi-level density of states = 1.69 states/eV/f.u.
Excess energy over the best structure of this formula in the dataset = 0.00 eV per formula unit

Geometry as CIF:
```
data_YPbCl
_chemical_formula_sum 'Y1 Pb1 Cl1'
_symmetry_space_group_name_H-M 'P 3 m 1'
_symmetry_Int_Tables_number 156
_symmetry_space_group_name_Hall 'P 3 -2"'
_cell_length_a 3.6550
_cell_length_b 3.6550
_cell_length_c 7.4871
_cell_angle_alpha 90.00
_cell_angle_beta 90.00
_cell_angle_gamma 120.00
loop_
_atom_site_label
_atom_site_type_symbol
_atom_site_fract_x
_atom_site_fract_y
_atom_site_fract_z
Y1 Y 0.0000 0.0000 0.0000
Pb1 Pb 0.6667 0.3333 0.3284
Cl1 Cl 0.3333 0.6667 0.7715
```

=====

[10]
Below is crystalline YPbCl2 at its relaxed geometry, with properties calculated at the GGA-PBEsol level.

Fermi-level density of states = 1.39 states/eV/f.u.
Calculated total energy = -18.553 eV/f.u.

Geometry as CIF:
```
data_YPbCl2
_chemical_formula_sum 'Y2 Pb2 Cl4'
_symmetry_space_group_name_H-M 'I -4 m 2'
_symmetry_Int_Tables_number 119
_symmetry_space_group_name_Hall 'I -4 -2'
_cell_length_a 4.119
_cell_length_b 4.119
_cell_length_c 11.139
_cell_angle_alpha 90.00
_cell_angle_beta 90.00
_cell_angle_gamma 90.00
loop_
_atom_site_label
_atom_site_type_symbol
_atom_site_fract_x
_atom_site_fract_y
_atom_site_fract_z
Y1 Y 0.000 0.000 0.000
Pb1 Pb 0.000 0.500 0.750
Cl1 Cl 0.000 0.000 0.500
Cl2 Cl 0.000 0.500 0.250
```

=====

[11]
Below is crystalline YPb2Cl at its relaxed geometry, with properties calculated at the GGA-PBEsol level.

Fermi-level density of states = 2.27 states/eV/f.u.
Excess energy over the best structure of this formula in the dataset = 0.00 eV per formula unit

Geometry as CIF:
```
data_YPb2Cl
_chemical_formula_sum 'Y1 Pb2 Cl1'
_symmetry_space_group_name_H-M 'P 4 m m'
_symmetry_Int_Tables_number 99
_symmetry_space_group_name_Hall 'P 4 -2'
_cell_length_a 3.540
_cell_length_b 3.540
_cell_length_c 8.712
_cell_angle_alpha 90.00
_cell_angle_beta 90.00
_cell_angle_gamma 90.00
loop_
_atom_site_label
_atom_site_type_symbol
_atom_site_fract_x
_atom_site_fract_y
_atom_site_fract_z
Y1 Y 0.000 0.000 0.000
Pb1 Pb 0.000 0.000 0.515
Pb2 Pb 0.500 0.500 0.752
Cl1 Cl 0.500 0.500 0.159
```

=====

[12]
Below is crystalline YPb2Cl at its relaxed geometry, with properties calculated at the GGA-PBEsol level.

Fermi-level density of states = 1.99 states/eV/f.u.
Excess energy over the best structure of this formula in the dataset = 0.11 eV per formula unit

Geometry as CIF:
```
data_YPb2Cl
_chemical_formula_sum 'Y2 Pb4 Cl2'
_symmetry_space_group_name_H-M 'I m m m'
_symmetry_Int_Tables_number 71
_symmetry_space_group_name_Hall '-I 2 2'
_cell_length_a 3.405
_cell_length_b 4.459
_cell_length_c 14.451
_cell_angle_alpha 90.00
_cell_angle_beta 90.00
_cell_angle_gamma 90.00
loop_
_atom_site_label
_atom_site_type_symbol
_atom_site_fract_x
_atom_site_fract_y
_atom_site_fract_z
Y1 Y 0.000 0.000 0.000
Pb1 Pb 0.000 0.500 0.302
Cl1 Cl 0.000 0.000 0.500
```